Y2HoEr9 | PBE | relaxed

```
data_Y2HoEr9
_chemical_formula_sum 'Y2 Ho1 Er9'
_cell_length_a 4.9786
_cell_length_b 4.9786
_cell_length_c 14.9340
_cell_angle_alpha 90.00
_cell_angle_beta 90.00
_cell_angle_gamma 90.00
_space_group_name_H-M_alt 'P 4/m m m'
_space_group_IT_number 123
_space_group_name_Hall '-P 4 2'
loop_
_atom_site_label
_atom_site_type_symbol
_atom_site_fract_x
_atom_site_fract_y
_atom_site_fract_z
Y1 Y 0.0000 0.0000 0.1670
Ho1 Ho 0.0000 0.0000 0.5000
Er1 Er 0.0000 0.5000 0.0000
Er2 Er 0.0000 0.5000 0.3343
Er3 Er 0.5000 0.5000 0.1672
Er4 Er 0.5000 0.5000 0.5000
```

For the magnetic moment, the calculation gives 0.00 μB per cell. The value obtained for the total energy is -4.86 eV/atom. As for the formation energy: 0.03 eV per atom.